No. 1
{
  "formula": "PrPuGa2O8",
  "functional": "PBE-GGA",
  "state": "relaxed",
  "cell": [[3.7152, -3.1082, 0.0000], [3.7152, 3.1082, 0.0000], [-0.0250, 0.0000, 7.4112]],
  "species": ["Pr", "Pu", "Ga", "Ga", "O", "O", "O", "O", "O", "O", "O", "O"],
  "frac_coords": [[0.0000, 0.0000, 0.0000], [0.0000, 0.0000, 0.5000], [0.4992, 0.4992, 0.8101], [0.5008, 0.5008, 0.1899], [0.2221, 0.7780, 0.2752], [0.2220, 0.7779, 0.7248], [0.2427, 0.2427, 0.5014], [0.3231, 0.3231, 0.0000], [0.6769, 0.6769, 0.0000], [0.7573, 0.7573, 0.4986], [0.7780, 0.2221, 0.2752], [0.7779, 0.2220, 0.7248]]
}

No. 2
{
  "formula": "RbPr2GaO5",
  "functional": "PBE-GGA",
  "state": "relaxed",
  "cell": [[-3.4723, 3.4723, 5.7436], [3.4723, -3.4723, 5.7436], [3.4723, 3.4723, -5.7436]],
  "species": ["Rb", "Rb", "Pr", "Pr", "Pr", "Pr", "Ga", "Ga", "O", "O", "O", "O", "O", "O", "O", "O", "O", "O"],
  "frac_coords": [[0.2500, 0.2500, 0.0000], [0.7500, 0.7500, 0.0000], [0.1812, 0.6812, 0.8623], [0.3188, 0.1812, 0.5000], [0.6812, 0.8188, 0.5000], [0.8188, 0.3188, 0.1377], [0.2500, 0.7500, 0.5000], [0.7500, 0.2500, 0.5000], [0.0000, 0.0000, 0.0000], [0.0009, 0.2330, 0.5000], [0.2330, 0.7330, 0.2321], [0.2670, 0.4991, 0.5000], [0.4991, 0.9991, 0.2321], [0.5000, 0.5000, 0.0000], [0.5009, 0.0009, 0.7679], [0.7330, 0.5009, 0.5000], [0.7670, 0.2670, 0.7679], [0.9991, 0.7670, 0.5000]]
}

No. 3
{
  "formula": "PrGa2ReO8",
  "functional": "PBE-GGA",
  "state": "relaxed",
  "cell": [[3.6616, -3.1767, 0.0000], [3.6616, 3.1767, 0.0000], [-1.1094, 0.0000, 6.7098]],
  "species": ["Pr", "Ga", "Ga", "Re", "O", "O", "O", "O", "O", "O", "O", "O"],
  "frac_coords": [[0.0000, 0.0000, 0.0000], [0.4525, 0.4525, 0.7825], [0.5475, 0.5475, 0.2175], [0.0000, 0.0000, 0.5000], [0.2041, 0.7888, 0.7037], [0.2112, 0.7959, 0.2963], [0.2566, 0.2566, 0.5539], [0.3272, 0.3272, 0.0090], [0.6728, 0.6728, 0.9910], [0.7434, 0.7434, 0.4461], [0.7888, 0.2041, 0.7037], [0.7959, 0.2112, 0.2963]]
}

Number 1: uncorrected energy -7.64 eV per atom, V 14.3 Å³/atom. Number 2: uncorrected energy -6.83 eV per atom, V 15.4 Å³/atom. Number 3: uncorrected energy -7.18 eV per atom, V 13.0 Å³/atom.